--- A ---
The following is a DFT calculation (PBE-GGA) of a relaxed structure of SrBe2Re.

Lattice parameters (Å, degrees): 4.2579 4.2579 5.7498 109.09 109.09 48.97
Closest atoms and distances in Å follow each position.
Sites, in units of the cell vectors:
Sr: 0.0000 0.0000 0.0000  6 Be 3.04-3.25, 4 Re 3.37
Be: 0.2058 0.2058 0.5611  2 Be 2.10, 2 Re 2.32
Be: 0.7942 0.7942 0.4389  2 Be 2.10, 2 Re 2.32
Re: 0.5000 0.5000 0.5000  6 Be 2.32-2.43

Summary:
- space-group type = C2/m, No. 12
- calculated volume (Å³/atom) = 18.3

--- B ---
The following is a DFT calculation (PBE-GGA) of a relaxed structure of SrBe2Re.

Lattice parameters (Å, degrees): 5.2801 5.2801 5.2801 137.63 137.63 61.47
Closest atoms and distances in Å follow each position.
Sites, in units of the cell vectors:
Sr: 0.0000 0.0000 0.0000  8 Be 2.70-2.96, 4 Re 2.96
Be: 0.2500 0.7500 0.5000  4 Re 2.70, 4 Be 2.96, 4 Sr 2.96
Be: 0.5000 0.5000 0.0000  4 Sr 2.70, 4 Be 2.96, 4 Re 2.96
Re: 0.7500 0.2500 0.5000  8 Be 2.70-2.96, 4 Sr 2.96

Summary:
- space-group type = I-4m2, No. 119
- calculated volume (Å³/atom) = 16.5

Stability check: which of them is least stable? B.